No. 1
Compound: Nb2Ga
Source: OQMD via LeMat-Bulk
Functional: PBE-GGA
Structure: optimized geometry

Results
Total DFT energy (no corrections) in eV per formula unit: -13.7
Crystal system: cubic

Lattice parameters (Å, degrees): 11.496 11.496 11.496 90.00 90.00 90.00
Space group Fd-3m (No. 227, origin choice 2)
One atom of each set of equivalent atoms:
Nb  0.000  0.000  0.000 x16
Ga  0.125  0.125  0.125 x8

No. 2
Compound: NbGa2
Source: OQMD via LeMat-Bulk
Functional: PBE-GGA
Structure: optimized geometry

Results
Total DFT energy (no corrections) in eV per formula unit: -11.2
Crystal system: cubic

Lattice parameters (Å, degrees): 11.920 11.920 11.920 90.00 90.00 90.00
Space group Fd-3m (No. 227, origin choice 2)
One atom of each set of equivalent atoms:
Nb  0.125  0.125  0.125 x8
Ga  0.000  0.000  0.000 x16

No. 3
Compound: NdNb2Ga2
Source: OQMD via LeMat-Bulk
Functional: PBE-GGA
Structure: optimized geometry

Results
Total DFT energy (no corrections) in eV per formula unit: -31.8
Crystal system: tetragonal

Lattice parameters (Å, degrees): 7.539 7.539 3.458 90.00 90.00 90.00
Space group P4/mbm (No. 127)
One atom of each set of equivalent atoms:
Nd  0.000  0.000  0.000 x2
Nb  0.173  0.327  0.500 x4
Ga  0.120  0.620  0.000 x4

No. 4
Compound: NdNbGa
Source: OQMD via LeMat-Bulk
Functional: PBE-GGA
Structure: optimized geometry

Results
Total DFT energy (no corrections) in eV per formula unit: -17.1
Crystal system: cubic
Offset from the most stable computed form in meV/atom: 0

Lattice parameters (Å, degrees): 6.653 6.653 6.653 90.00 90.00 90.00
Space group F-43m (No. 216)
One atom of each set of equivalent atoms:
Nd  0.000  0.000  0.000 x4
Nb  0.000  0.000  0.500 x4
Ga  0.250  0.250  0.750 x4

No. 5
Compound: Nb2GaNi
Source: OQMD via LeMat-Bulk
Functional: PBE-GGA
Structure: optimized geometry

Results
Total DFT energy (no corrections) in eV per formula unit: -28.3
Crystal system: cubic

Lattice parameters (Å, degrees): 6.326 6.326 6.326 90.00 90.00 90.00
Space group F-43m (No. 216)
One atom of each set of equivalent atoms:
Nb  0.000  0.000  0.000 x4
Nb  0.250  0.250  0.250 x4
Ga  0.000  0.000  0.500 x4
Ni  0.250  0.250  0.750 x4

No. 6
Compound: NbGa2Ni
Source: OQMD via LeMat-Bulk
Functional: PBE-GGA
Structure: optimized geometry

Results
Total DFT energy (no corrections) in eV per formula unit: -21.6
Crystal system: cubic

Lattice parameters (Å, degrees): 6.213 6.213 6.213 90.00 90.00 90.00
Space group F-43m (No. 216)
One atom of each set of equivalent atoms:
Nb  0.000  0.000  0.000 x4
Ga  0.000  0.000  0.500 x4
Ga  0.250  0.250  0.750 x4
Ni  0.250  0.250  0.250 x4

No. 7
Compound: Nb2Ga2NiPt
Source: OQMD via LeMat-Bulk
Functional: PBE-GGA
Structure: optimized geometry

Results
Total DFT energy (no corrections) in eV per formula unit: -40.6
Crystal system: monoclinic

Lattice parameters (Å, degrees): 7.263 4.177 13.867 90.00 99.73 90.00
Space group Pm (No. 6)
One atom of each set of equivalent atoms:
Nb  0.000  0.000  0.000 x1
Nb  0.007  0.500  0.492 x1
Nb  0.236  0.000  0.737 x1
Nb  0.246  0.500  0.241 x1
Nb  0.483  0.000  0.484 x1
Nb  0.499  0.500  0.999 x1
Nb  0.743  0.000  0.236 x1
Nb  0.757  0.500  0.739 x1
Ga  0.121  0.500  0.860 x1
Ga  0.127  0.000  0.362 x1
Ga  0.362  0.500  0.610 x1
Ga  0.373  0.000  0.125 x1
Ga  0.610  0.500  0.361 x1
Ga  0.621  0.000  0.865 x1
Ga  0.876  0.500  0.125 x1
Ga  0.881  0.000  0.616 x1
Ni  0.060  0.000  0.181 x1
Ni  0.060  0.500  0.676 x1
Ni  0.306  0.500  0.425 x1
Ni  0.558  0.500  0.180 x1
Pt  0.309  0.000  0.931 x1
Pt  0.558  0.000  0.675 x1
Pt  0.809  0.000  0.426 x1
Pt  0.812  0.500  0.932 x1

No. 8
Compound: ScNbGaNi
Source: OQMD via LeMat-Bulk
Functional: PBE-GGA
Structure: optimized geometry

Results
Total DFT energy (no corrections) in eV per formula unit: -25.2
Crystal system: cubic
Offset from the most stable computed form in meV/atom: 0

Lattice parameters (Å, degrees): 6.400 6.400 6.400 90.00 90.00 90.00
Space group F-43m (No. 216)
One atom of each set of equivalent atoms:
Sc  0.000  0.000  0.000 x4
Nb  0.250  0.250  0.250 x4
Ga  0.000  0.000  0.500 x4
Ni  0.250  0.250  0.750 x4

No. 9
Compound: TaNbGaNi
Source: OQMD via LeMat-Bulk
Functional: PBE-GGA
Structure: optimized geometry

Results
Total DFT energy (no corrections) in eV per formula unit: -30.0
Crystal system: cubic
Offset from the most stable computed form in meV/atom: 0

Lattice parameters (Å, degrees): 6.327 6.327 6.327 90.00 90.00 90.00
Space group F-43m (No. 216)
One atom of each set of equivalent atoms:
Ta  0.000  0.000  0.000 x4
Nb  0.250  0.250  0.250 x4
Ga  0.000  0.000  0.500 x4
Ni  0.250  0.250  0.750 x4

No. 10
Compound: NbGaNiW
Source: OQMD via LeMat-Bulk
Functional: PBE-GGA
Structure: optimized geometry

Results
Total DFT energy (no corrections) in eV per formula unit: -30.8
Crystal system: cubic

Lattice parameters (Å, degrees): 6.257 6.257 6.257 90.00 90.00 90.00
Space group F-43m (No. 216)
One atom of each set of equivalent atoms:
Nb  0.000  0.000  0.000 x4
Ga  0.250  0.250  0.250 x4
Ni  0.000  0.000  0.500 x4
W  0.250  0.250  0.750 x4

No. 11
Compound: Nb2Ga2O5
Source: OQMD via LeMat-Bulk
Functional: PBE-GGA
Structure: optimized geometry

Results
Total DFT energy (no corrections) in eV per formula unit: -62.3
Crystal system: tetragonal
Offset from the most stable computed form in meV/atom: 366

Lattice parameters (Å, degrees): 3.449 3.449 9.108 90.00 90.00 90.00
Space group P4/mmm (No. 123)
One atom of each set of equivalent atoms:
Nb  0.000  0.000  0.000 x1
Nb  0.000  0.000  0.500 x1
Ga  0.500  0.500  0.246 x2
O  0.000  0.500  0.361 x4
O  0.500  0.500  0.000 x1

No. 12
Compound: NbGaO3
Source: OQMD via LeMat-Bulk
Functional: PBE-GGA
Structure: optimized geometry

Results
Total DFT energy (no corrections) in eV per formula unit: -37.5
Crystal system: trigonal

Lattice parameters (Å, degrees): 5.0035 5.0035 15.1376 90.00 90.00 120.00
Space group R-3 (No. 148, hexagonal axes)
One atom of each set of equivalent atoms:
Nb  0.0000  0.0000  0.1565 x6
Ga  0.0000  0.0000  0.3503 x6
O  0.0094  0.6927  0.2567 x18

No. 13
Compound: NbGaO3
Source: OQMD via LeMat-Bulk
Functional: PBE-GGA
Structure: optimized geometry

Results
Total DFT energy (no corrections) in eV per formula unit: -37.0
Crystal system: trigonal

Lattice parameters (Å, degrees): 5.6410 5.6410 12.1386 90.00 90.00 120.00
Space group R-3c (No. 167, hexagonal axes)
One atom of each set of equivalent atoms:
Nb  0.0000  0.0000  0.0000 x6
Ga  0.0000  0.0000  0.2500 x6
O  0.0000  0.3594  0.2500 x18

No. 14
Compound: Nb2Ga2O5
Source: OQMD via LeMat-Bulk
Functional: PBE-GGA
Structure: optimized geometry

Results
Total DFT energy (no corrections) in eV per formula unit: -65.6
Crystal system: tetragonal
Offset from the most stable computed form in meV/atom: 0

Lattice parameters (Å, degrees): 4.010 4.010 7.780 90.00 90.00 90.00
Space group P4/mmm (No. 123)
One atom of each set of equivalent atoms:
Nb  0.000  0.000  0.245 x2
Ga  0.500  0.500  0.000 x1
Ga  0.500  0.500  0.500 x1
O  0.000  0.000  0.500 x1
O  0.000  0.500  0.232 x4

No. 15
Compound: NbGaO3
Source: OQMD via LeMat-Bulk
Functional: PBE-GGA
Structure: optimized geometry

Results
Total DFT energy (no corrections) in eV per formula unit: -35.4
Crystal system: trigonal

Lattice parameters (Å, degrees): 5.3753 5.3753 13.0929 90.00 90.00 120.00
Space group R-3c (No. 167, hexagonal axes)
One atom of each set of equivalent atoms:
Nb  0.0000  0.0000  0.2500 x6
Ga  0.0000  0.0000  0.0000 x6
O  0.0000  0.3809  0.2500 x18

No. 16
Compound: NbGaPO
Source: OQMD via LeMat-Bulk
Functional: PBE-GGA
Structure: optimized geometry

Results
Total DFT energy (no corrections) in eV per formula unit: -26.7
Crystal system: tetragonal
Offset from the most stable computed form in meV/atom: 116

Lattice parameters (Å, degrees): 3.462 3.462 9.775 90.00 90.00 90.00
Space group P4/nmm (No. 129, origin choice 2)
One atom of each set of equivalent atoms:
Nb  0.250  0.250  0.135 x2
Ga  0.250  0.750  0.500 x2
P  0.250  0.250  0.745 x2
O  0.250  0.750  0.000 x2

No. 17
Compound: NbGaPO
Source: OQMD via LeMat-Bulk
Functional: PBE-GGA
Structure: optimized geometry

Results
Total DFT energy (no corrections) in eV per formula unit: -27.1
Crystal system: orthorhombic
Offset from the most stable computed form in meV/atom: 0

Lattice parameters (Å, degrees): 3.902 7.343 4.949 90.00 90.00 90.00
Space group Pmc2_1 (No. 26)
One atom of each set of equivalent atoms:
Nb  0.000  0.127  0.000 x2
Ga  0.500  0.423  0.505 x2
P  0.000  0.217  0.500 x2
O  0.500  0.138  0.000 x2

No. 18
Compound: NbGaPO
Source: OQMD via LeMat-Bulk
Functional: PBE-GGA
Structure: optimized geometry

Results
Total DFT energy (no corrections) in eV per formula unit: -25.9
Crystal system: tetragonal
Offset from the most stable computed form in meV/atom: 319

Lattice parameters (Å, degrees): 3.973 3.973 7.574 90.00 90.00 90.00
Space group P4/nmm (No. 129, origin choice 2)
One atom of each set of equivalent atoms:
Nb  0.250  0.750  0.000 x2
Ga  0.250  0.250  0.405 x2
P  0.250  0.250  0.795 x2
O  0.250  0.750  0.500 x2

No. 19
Compound: NbGaPO
Source: OQMD via LeMat-Bulk
Functional: PBE-GGA
Structure: optimized geometry

Results
Total DFT energy (no corrections) in eV per formula unit: -27.0
Crystal system: orthorhombic
Offset from the most stable computed form in meV/atom: 38

Lattice parameters (Å, degrees): 3.258 6.507 5.745 90.00 90.00 90.00
Space group Pmc2_1 (No. 26)
One atom of each set of equivalent atoms:
Nb  0.000  0.008  0.000 x2
Ga  0.500  0.416  0.365 x2
P  0.500  0.212  0.750 x2
O  0.000  0.259  0.257 x2

No. 20
Compound: NbGaOs2
Source: OQMD via LeMat-Bulk
Functional: PBE-GGA
Structure: optimized geometry

Results
Total DFT energy (no corrections) in eV per formula unit: -35.0
Crystal system: hexagonal

Lattice parameters (Å, degrees): 4.4479 4.4479 7.7958 90.00 90.00 120.00
Space group P6_3/mmc (No. 194)
One atom of each set of equivalent atoms:
Nb  0.0000  0.0000  0.0000 x2
Ga  0.3333  0.6667  0.2500 x2
Os  0.3333  0.6667  0.5959 x4

No. 21
Compound: NbGaOs2
Source: OQMD via LeMat-Bulk
Functional: PBE-GGA
Structure: optimized geometry

Results
Total DFT energy (no corrections) in eV per formula unit: -36.4
Crystal system: cubic

Lattice parameters (Å, degrees): 6.252 6.252 6.252 90.00 90.00 90.00
Space group Fm-3m (No. 225)
One atom of each set of equivalent atoms:
Nb  0.000  0.000  0.000 x4
Ga  0.000  0.000  0.500 x4
Os  0.250  0.250  0.250 x8

No. 22
Compound: NbGaOs2
Source: OQMD via LeMat-Bulk
Functional: PBE-GGA
Structure: optimized geometry

Results
Total DFT energy (no corrections) in eV per formula unit: -33.4
Crystal system: hexagonal

Lattice parameters (Å, degrees): 4.4864 4.4864 7.4063 90.00 90.00 120.00
Space group P6_3/mmc (No. 194)
One atom of each set of equivalent atoms:
Nb  0.0000  0.0000  0.2500 x2
Ga  0.3333  0.6667  0.2500 x2
Os  0.3333  0.6667  0.5815 x4

No. 23
Compound: NbGaOs2
Source: OQMD via LeMat-Bulk
Functional: PBE-GGA
Structure: optimized geometry

Results
Total DFT energy (no corrections) in eV per formula unit: -35.7
Crystal system: hexagonal

Lattice parameters (Å, degrees): 4.2374 4.2374 8.3863 90.00 90.00 120.00
Space group P6_3/mmc (No. 194)
One atom of each set of equivalent atoms:
Nb  0.3333  0.6667  0.2500 x2
Ga  0.0000  0.0000  0.0000 x2
Os  0.3333  0.6667  0.6007 x4